A plane-wave DFT calculation with GGA-PBEsol was carried out for a relaxed structure of BOs3Se. Values from VASP.

Properties
energy relative to the elements, uncorrected = 2827 meV/atom
VASP energy = -6.6759 eV per atom
energy above the most stable polymorph in this dataset = 2011 meV per atom
M_tot = 1.08 μB per formula unit

The structure in Quantum ESPRESSO input format:
```
&SYSTEM
  ibrav = 0, nat = 5, ntyp = 3
/
ATOMIC_SPECIES
B 10.81 B.upf
Os 190.23 Os.upf
Se 78.96 Se.upf
CELL_PARAMETERS angstrom
4.475 0.000 0.000
0.000 4.475 0.000
0.000 0.000 4.475
ATOMIC_POSITIONS angstrom
B 0.000 0.000 0.000
Os 0.000 2.238 2.238
Os 2.238 0.000 2.238
Os 2.238 2.238 0.000
Se 2.238 2.238 2.238
```